[1]
A plane-wave DFT calculation with GGA-PBE was carried out for SiMoAs3 after structural relaxation.

Structure (CIF):
```
data_SiMoAs3
_chemical_formula_sum 'Si1 Mo1 As3'
_symmetry_space_group_name_H-M 'P 1'
_symmetry_Int_Tables_number 1
_cell_length_a 4.696
_cell_length_b 4.696
_cell_length_c 4.696
_cell_angle_alpha 90.00
_cell_angle_beta 90.00
_cell_angle_gamma 90.00
loop_
_symmetry_equiv_pos_as_xyz
'x,y,z'
loop_
_atom_site_label
_atom_site_type_symbol
_atom_site_fract_x
_atom_site_fract_y
_atom_site_fract_z
Si1 Si 0.000 0.000 0.000
Mo1 Mo 0.500 0.500 0.500
As1 As 0.000 0.000 0.500
As2 As 0.000 0.500 0.000
As3 As 0.500 0.000 0.000
```

Computed properties:
ΔE_f (raw) ... 1034 meV/atom
Energy above the most stable polymorph in this dataset ... 270 meV per atom



[2]
A plane-wave DFT calculation with GGA-PBE was carried out for SiMoAs2 after structural relaxation.

Structure (CIF):
```
data_SiMoAs2
_chemical_formula_sum 'Si1 Mo1 As2'
_symmetry_space_group_name_H-M 'P 1'
_symmetry_Int_Tables_number 1
_cell_length_a 3.209
_cell_length_b 4.435
_cell_length_c 4.608
_cell_angle_alpha 90.00
_cell_angle_beta 90.00
_cell_angle_gamma 90.00
loop_
_symmetry_equiv_pos_as_xyz
'x,y,z'
loop_
_atom_site_label
_atom_site_type_symbol
_atom_site_fract_x
_atom_site_fract_y
_atom_site_fract_z
Si1 Si 0.000 0.000 0.000
Mo1 Mo 0.500 0.500 0.000
As1 As 0.000 0.500 0.500
As2 As 0.500 0.000 0.500
```

Computed properties:
ΔE_f (raw) ... 439 meV/atom



[3]
A plane-wave DFT calculation with GGA-PBE was carried out for SiMo2As after structural relaxation.

Structure (CIF):
```
data_SiMo2As
_chemical_formula_sum 'Si1 Mo2 As1'
_symmetry_space_group_name_H-M 'P 1'
_symmetry_Int_Tables_number 1
_cell_length_a 5.135
_cell_length_b 5.135
_cell_length_c 5.135
_cell_angle_alpha 143.15
_cell_angle_beta 131.13
_cell_angle_gamma 62.74
loop_
_symmetry_equiv_pos_as_xyz
'x,y,z'
loop_
_atom_site_label
_atom_site_type_symbol
_atom_site_fract_x
_atom_site_fract_y
_atom_site_fract_z
Si1 Si 0.000 0.000 0.000
Mo1 Mo 0.226 0.726 0.500
Mo2 Mo 0.493 0.493 0.000
As1 As 0.731 0.231 0.500
```

Computed properties:
ΔE_f (raw) ... 49 meV/atom
Energy above the most stable polymorph in this dataset ... 312 meV per atom



[4]
A plane-wave DFT calculation with GGA-PBE was carried out for VSiMo2As after structural relaxation.

Structure (CIF):
```
data_VSiMo2As
_chemical_formula_sum 'V1 Si1 Mo2 As1'
_symmetry_space_group_name_H-M 'P 1'
_symmetry_Int_Tables_number 1
_cell_length_a 4.582
_cell_length_b 4.582
_cell_length_c 4.400
_cell_angle_alpha 90.00
_cell_angle_beta 90.00
_cell_angle_gamma 90.00
loop_
_symmetry_equiv_pos_as_xyz
'x,y,z'
loop_
_atom_site_label
_atom_site_type_symbol
_atom_site_fract_x
_atom_site_fract_y
_atom_site_fract_z
V1 V 0.000 0.000 0.000
Si1 Si 0.000 0.000 0.500
Mo1 Mo 0.000 0.500 0.000
Mo2 Mo 0.500 0.000 0.000
As1 As 0.500 0.500 0.500
```

Computed properties:
ΔE_f (raw) ... 1122 meV/atom



[5]
A plane-wave DFT calculation with GGA-PBE was carried out for ZrSiMo2As after structural relaxation.

Structure (CIF):
```
data_ZrSiMo2As
_chemical_formula_sum 'Zr1 Si1 Mo2 As1'
_symmetry_space_group_name_H-M 'P 1'
_symmetry_Int_Tables_number 1
_cell_length_a 4.894
_cell_length_b 4.894
_cell_length_c 4.909
_cell_angle_alpha 90.00
_cell_angle_beta 90.00
_cell_angle_gamma 90.00
loop_
_symmetry_equiv_pos_as_xyz
'x,y,z'
loop_
_atom_site_label
_atom_site_type_symbol
_atom_site_fract_x
_atom_site_fract_y
_atom_site_fract_z
Zr1 Zr 0.000 0.000 0.000
Si1 Si 0.000 0.000 0.500
Mo1 Mo 0.000 0.500 0.000
Mo2 Mo 0.500 0.000 0.000
As1 As 0.500 0.500 0.500
```

Computed properties:
ΔE_f (raw) ... 1805 meV/atom



[6]
A plane-wave DFT calculation with GGA-PBE was carried out for SnMoAs3 after structural relaxation.

Structure (CIF):
```
data_SnMoAs3
_chemical_formula_sum 'Sn1 Mo1 As3'
_symmetry_space_group_name_H-M 'P 1'
_symmetry_Int_Tables_number 1
_cell_length_a 4.935
_cell_length_b 4.935
_cell_length_c 4.935
_cell_angle_alpha 90.00
_cell_angle_beta 90.00
_cell_angle_gamma 90.00
loop_
_symmetry_equiv_pos_as_xyz
'x,y,z'
loop_
_atom_site_label
_atom_site_type_symbol
_atom_site_fract_x
_atom_site_fract_y
_atom_site_fract_z
Sn1 Sn 0.000 0.000 0.000
Mo1 Mo 0.500 0.500 0.500
As1 As 0.000 0.500 0.500
As2 As 0.500 0.000 0.500
As3 As 0.500 0.500 0.000
```

Computed properties:
DFT formation energy ... 0.39 eV per atom
Energy above the most stable polymorph in this dataset ... 0 meV per atom



Repeat the fourth record exactly.
A plane-wave DFT calculation with GGA-PBE was carried out for VSiMo2As after structural relaxation.

Structure (CIF):
```
data_VSiMo2As
_chemical_formula_sum 'V1 Si1 Mo2 As1'
_symmetry_space_group_name_H-M 'P 1'
_symmetry_Int_Tables_number 1
_cell_length_a 4.582
_cell_length_b 4.582
_cell_length_c 4.400
_cell_angle_alpha 90.00
_cell_angle_beta 90.00
_cell_angle_gamma 90.00
loop_
_symmetry_equiv_pos_as_xyz
'x,y,z'
loop_
_atom_site_label
_atom_site_type_symbol
_atom_site_fract_x
_atom_site_fract_y
_atom_site_fract_z
V1 V 0.000 0.000 0.000
Si1 Si 0.000 0.000 0.500
Mo1 Mo 0.000 0.500 0.000
Mo2 Mo 0.500 0.000 0.000
As1 As 0.500 0.500 0.500
```

Computed properties:
ΔE_f (raw) ... 1122 meV/atom